Density functional theory data (PBE-GGA) for a relaxed structure of PmHo3Te2.

Computed properties:
The total energy is -4.97 eV/atom. Its magnetic moment is 0.0 Bohr magnetons per cell.

Cell and atoms, written as CIF:
```
data_PmHo3Te2
_cell_length_a 16.4513
_cell_length_b 4.1244
_cell_length_c 11.3470
_cell_angle_alpha 90.00
_cell_angle_beta 109.43
_cell_angle_gamma 90.00
_space_group_name_H-M_alt 'C 1 2/m 1'
_space_group_IT_number 12
loop_
_space_group_symop_operation_xyz
'x,y,z'
'-x,-y,-z'
'-x,y,-z'
'x,-y,z'
'x+1/2,y+1/2,z'
'-x+1/2,-y+1/2,-z'
'-x+1/2,y+1/2,-z'
'x+1/2,-y+1/2,z'
loop_
_atom_site_label
_atom_site_type_symbol
_atom_site_fract_x
_atom_site_fract_y
_atom_site_fract_z
Pm1 Pm 0.1189 0.0000 0.0431
Ho1 Ho 0.0605 0.0000 0.4051
Ho2 Ho 0.1232 0.5000 0.6664
Ho3 Ho 0.2165 0.5000 0.3774
Te1 Te 0.0167 0.5000 0.1716
Te2 Te 0.2297 0.0000 0.8566
```